No. 1
A geometry-optimized CaNd2Ho structure, computed with PBE.

Results
**Formation enthalpy at 0 K**: 2.258 kcal/mol of atoms

Unit cell a=3.538 b=6.572 c=12.333 alpha=85.80 beta=98.25 gamma=90.00
Atoms (fractional coordinates):
1 Nd 0.364 0.542 0.728
2 Nd 0.128 0.971 0.256
3 Nd 0.872 0.029 0.744
4 Nd 0.636 0.458 0.272
5 Ca 0.499 0.248 0.998
6 Ca 0.501 0.752 0.002
7 Ho 0.748 0.752 0.497
8 Ho 0.252 0.248 0.503

=====

No. 2
A geometry-optimized In2Ag2H structure, computed with PBE.

Results
**DFT total energy**: -2.651 eV per atom

Unit cell a=5.640 b=5.640 c=5.117 alpha=56.56 beta=56.56 gamma=90.00
Atoms (fractional coordinates):
1 Ag 0.287 0.287 0.427
2 Ag 0.713 0.713 0.573
3 In 0.750 0.250 0.500
4 In 0.250 0.750 0.500
5 H 0.000 0.000 0.000

=====

No. 3
A geometry-optimized Tc2SnGePt structure, computed with PBE.

Results
**Formation enthalpy at 0 K**: 18.816 kcal/mol of atoms

Unit cell a=4.643 b=4.571 c=4.643 alpha=90.00 beta=90.00 gamma=90.00
Last column: magnetic moment on the atom in μB.
Atoms (fractional coordinates):
1 Tc 0.500 0.000 0.000  0.79
2 Tc 0.000 0.000 0.500  1.17
3 Sn 0.500 0.500 0.500  -0.06
4 Ge 0.000 0.000 0.000  -0.06
5 Pt 0.000 0.500 0.000  0.06

=====

Number 1: N(E_F) 1.32 states/eV/atom, magnetization 0.00 μB/cell. Number 2: N(E_F) 0.37 states/eV/atom, magnetization 0.00 μB/cell. Number 3: N(E_F) 0.60 states/eV/atom, magnetization 2.02 μB/cell.